Pm2NdP3: optimized geometry, PBE.

**Fermi-level density of states**: 1.52 states/eV/cell
**Total magnetic moment**: 0.00 Bohr magnetons per cell
**Calculated total energy**: -6.64 eV per atom
**E_form**: -150.1 kJ per mole of atoms

Unit cell a=4.149 b=5.857 c=12.427 alpha=90.00 beta=90.00 gamma=90.00
Space group Immm (No. 71)
Unique sites:
Pm: 0.000 0.000 0.167 [4 per cell]
Nd: 0.000 0.000 0.500 [2 per cell]
P: 0.000 0.500 0.168 [4 per cell]
P: 0.000 0.500 0.500 [2 per cell]